(1)
# LiTl2MoSe (PBE-GGA, optimized geometry)
data_LiTl2MoSe
_cell_length_a 6.051
_cell_length_b 6.051
_cell_length_c 4.817
_cell_angle_alpha 90.00
_cell_angle_beta 90.00
_cell_angle_gamma 90.00
_symmetry_space_group_name_H-M 'P 4/m m m'
_symmetry_Int_Tables_number 123
_symmetry_space_group_name_Hall '-P 4 2'
loop_
_atom_site_label
_atom_site_fract_x
_atom_site_fract_y
_atom_site_fract_z
Li1 0.000 0.000 0.000
Tl1 0.000 0.500 0.500
Mo1 0.500 0.500 0.000
Se1 0.500 0.500 0.500
# Density of states at the Fermi level in states/eV per cell: 4.878
# E_form (uncorrected) in eV per atom: 0.668
# V in Å³/atom: 35.3
# Calculated density in g/cm3: 5.56

***

(2)
# Rb2Hg5Au4 (PBE-GGA, optimized geometry)
data_Rb2Hg5Au4
_cell_length_a 14.621
_cell_length_b 6.494
_cell_length_c 9.447
_cell_angle_alpha 90.00
_cell_angle_beta 129.41
_cell_angle_gamma 90.00
_symmetry_space_group_name_H-M 'C 1 2/m 1'
_symmetry_Int_Tables_number 12
loop_
_symmetry_equiv_pos_as_xyz
'x,y,z'
'-x,-y,-z'
'-x,y,-z'
'x,-y,z'
'x+1/2,y+1/2,z'
'-x+1/2,-y+1/2,-z'
'-x+1/2,y+1/2,-z'
'x+1/2,-y+1/2,z'
loop_
_atom_site_label
_atom_site_fract_x
_atom_site_fract_y
_atom_site_fract_z
Rb1 0.229 0.000 0.162
Hg1 0.000 0.500 0.000
Hg2 0.056 0.249 0.346
Au1 0.117 0.000 0.691
Au2 0.222 0.500 0.363
# Energy relative to the elements in eV per atom: -0.14
# Density of states at the Fermi level in states/eV per cell: 7.163
# V in Å³/atom: 31.5
# Calculated density in g/cm3: 9.40

***

(3)
# ReAuSe2 (PBE-GGA, optimized geometry)
data_ReAuSe2
_cell_length_a 3.974
_cell_length_b 3.974
_cell_length_c 8.908
_cell_angle_alpha 90.00
_cell_angle_beta 90.00
_cell_angle_gamma 90.00
_symmetry_space_group_name_H-M 'I -4 m 2'
_symmetry_Int_Tables_number 119
_symmetry_space_group_name_Hall 'I -4 -2'
loop_
_atom_site_label
_atom_site_fract_x
_atom_site_fract_y
_atom_site_fract_z
Re1 0.000 0.000 0.000
Au1 0.000 0.500 0.250
Se1 0.000 0.000 0.500
Se2 0.000 0.500 0.750
# Density of states at the Fermi level in states/eV per cell: 7.713
# E_form (uncorrected) in eV per atom: 0.938
# V in Å³/atom: 17.6
# Calculated density in g/cm3: 12.77

***

(4)
# ReTc2IrSe (PBE-GGA, optimized geometry)
data_ReTc2IrSe
_cell_length_a 4.691
_cell_length_b 4.691
_cell_length_c 4.731
_cell_angle_alpha 90.00
_cell_angle_beta 90.00
_cell_angle_gamma 90.00
_symmetry_space_group_name_H-M 'P 4/m m m'
_symmetry_Int_Tables_number 123
_symmetry_space_group_name_Hall '-P 4 2'
loop_
_atom_site_label
_atom_site_fract_x
_atom_site_fract_y
_atom_site_fract_z
Re1 0.000 0.000 0.000
Tc1 0.000 0.500 0.500
Ir1 0.500 0.500 0.500
Se1 0.500 0.500 0.000
# Density of states at the Fermi level in states/eV per cell: 6.830
# E_form (uncorrected) in eV per atom: 2.162
# V in Å³/atom: 20.8
# Calculated density in g/cm3: 10.42

***

(5)
# K3CaRu (PBE-GGA, optimized geometry)
data_K3CaRu
_cell_length_a 6.161
_cell_length_b 6.161
_cell_length_c 6.161
_cell_angle_alpha 90.00
_cell_angle_beta 90.00
_cell_angle_gamma 90.00
_symmetry_space_group_name_H-M 'P m -3 m'
_symmetry_Int_Tables_number 221
_symmetry_space_group_name_Hall '-P 4 2 3'
loop_
_atom_site_label
_atom_site_fract_x
_atom_site_fract_y
_atom_site_fract_z
K1 0.000 0.000 0.500
Ca1 0.500 0.500 0.500
Ru1 0.000 0.000 0.000
# Energy relative to the elements in eV per atom: 1.06
# Density of states at the Fermi level in states/eV per cell: 16.086
# V in Å³/atom: 46.8
# Calculated density in g/cm3: 1.83

***

(6)
# Li3Y4PuSe8 (PBE-GGA, optimized geometry)
data_Li3Y4PuSe8
_cell_length_a 8.1412
_cell_length_b 8.1412
_cell_length_c 19.9197
_cell_angle_alpha 90.00
_cell_angle_beta 90.00
_cell_angle_gamma 120.00
_symmetry_space_group_name_H-M 'R -3 m'
_symmetry_Int_Tables_number 166
_symmetry_space_group_name_Hall '-R 3 2"'
loop_
_atom_site_label
_atom_site_fract_x
_atom_site_fract_y
_atom_site_fract_z
Li1 0.0000 0.5000 0.0000
Y1 0.0000 0.0000 0.5000
Y2 0.0000 0.5000 0.5000
Pu1 0.0000 0.0000 0.0000
Se1 0.0000 0.0000 0.2509
Se2 0.0059 0.5029 0.2507
# Density of states at the Fermi level in states/eV per cell: 46.222
# E_form (uncorrected) in eV per atom: -1.684
# V in Å³/atom: 23.8
# Calculated density in g/cm3: 5.46

***

(7)
# Cs2PtRhO4 (PBE-GGA, optimized geometry)
data_Cs2PtRhO4
_cell_length_a 5.804
_cell_length_b 14.391
_cell_length_c 21.335
_cell_angle_alpha 90.00
_cell_angle_beta 90.00
_cell_angle_gamma 90.00
_symmetry_space_group_name_H-M 'F d d d'
_symmetry_Int_Tables_number 70
loop_
_symmetry_equiv_pos_as_xyz
'x,y,z'
'-x,-y,-z'
'-x+1/4,-y+1/4,z'
'x+1/4,y+1/4,-z'
'x,-y+1/4,-z+1/4'
'-x,y+1/4,z+1/4'
'-x+1/4,y,-z+1/4'
'x+1/4,-y,z+1/4'
'x,y+1/2,z+1/2'
'-x,-y+1/2,-z+1/2'
'-x+1/4,-y+3/4,z+1/2'
'x+1/4,y+3/4,-z+1/2'
'x,-y+3/4,-z+3/4'
'-x,y+3/4,z+3/4'
'-x+1/4,y+1/2,-z+3/4'
'x+1/4,-y+1/2,z+3/4'
'x+1/2,y,z+1/2'
'-x+1/2,-y,-z+1/2'
'-x+3/4,-y+1/4,z+1/2'
'x+3/4,y+1/4,-z+1/2'
'x+1/2,-y+1/4,-z+3/4'
'-x+1/2,y+1/4,z+3/4'
'-x+3/4,y,-z+3/4'
'x+3/4,-y,z+3/4'
'x+1/2,y+1/2,z'
'-x+1/2,-y+1/2,-z'
'-x+3/4,-y+3/4,z'
'x+3/4,y+3/4,-z'
'x+1/2,-y+3/4,-z+1/4'
'-x+1/2,y+3/4,z+1/4'
'-x+3/4,y+1/2,-z+1/4'
'x+3/4,-y+1/2,z+1/4'
loop_
_atom_site_label
_atom_site_fract_x
_atom_site_fract_y
_atom_site_fract_z
Cs1 0.125 0.125 0.294
Pt1 0.125 0.125 0.625
Rh1 0.125 0.125 0.125
O1 0.119 0.281 0.377
# Density of states at the Fermi level in states/eV per cell: 32.311
# E_form (uncorrected) in eV per atom: -0.865
# V in Å³/atom: 27.8
# Calculated density in g/cm3: 4.68

***

(8)
# LaV2BIr (PBE-GGA, optimized geometry)
data_LaV2BIr
_cell_length_a 4.431
_cell_length_b 4.431
_cell_length_c 4.219
_cell_angle_alpha 90.00
_cell_angle_beta 90.00
_cell_angle_gamma 90.00
_symmetry_space_group_name_H-M 'P 4/m m m'
_symmetry_Int_Tables_number 123
_symmetry_space_group_name_Hall '-P 4 2'
loop_
_atom_site_label
_atom_site_fract_x
_atom_site_fract_y
_atom_site_fract_z
La1 0.000 0.000 0.000
V1 0.000 0.500 0.500
B1 0.500 0.500 0.500
Ir1 0.500 0.500 0.000
# Energy relative to the elements in eV per atom: 0.01
# Density of states at the Fermi level in states/eV per cell: 4.867
# V in Å³/atom: 16.6
# Calculated density in g/cm3: 8.90